## HgBi3Pb4 (PBE-GGA)

Data for an optimized crystal structure of HgBi3Pb4.

* crystal system: orthorhombic
* electronic total energy: -25.7 eV/f.u.
* total magnetic moment: 0.000 μB/f.u.
* relative energy among the computed polymorphs: 0.62 eV per formula unit
* E_form: 0.136 eV per atom

Unit cell a=9.3423 b=7.5164 c=8.9862 alpha=90.00 beta=90.00 gamma=90.00
Last column: nearest neighbours and their distance in Å.
Fractional positions:
1 Hg 0.0000 0.2046 0.0000  1 Pb 3.00
2 Hg 0.5000 0.7954 0.5000  1 Pb 3.00
3 Bi 0.0000 0.8309 0.3540  4 Pb 3.09-3.13
4 Bi 0.1736 0.6355 0.8793  4 Pb 3.14-3.22, 1 Bi 3.24
5 Bi 0.3264 0.3644 0.3793  4 Pb 3.14-3.22, 1 Bi 3.24
6 Bi 0.5000 0.1691 0.8540  4 Pb 3.09-3.13
7 Bi 0.6736 0.3644 0.3793  4 Pb 3.14-3.22, 1 Bi 3.24
8 Bi 0.8264 0.6355 0.8793  4 Pb 3.14-3.22, 1 Bi 3.24
9 Pb 0.0000 0.2409 0.3323  1 Hg 3.00, 3 Bi 3.09-3.22
10 Pb 0.0000 0.9230 0.6932  3 Bi 3.13-3.18, 2 Pb 3.33, 1 Hg 3.48
11 Pb 0.2139 0.2768 0.7043  3 Bi 3.10-3.17, 1 Pb 3.33, 1 Hg 3.37
12 Pb 0.2861 0.7232 0.2043  3 Bi 3.10-3.17, 1 Pb 3.33, 1 Hg 3.37
13 Pb 0.5000 0.0770 0.1932  3 Bi 3.13-3.18, 2 Pb 3.33, 1 Hg 3.48
14 Pb 0.5000 0.7591 0.8323  1 Hg 3.00, 3 Bi 3.09-3.22
15 Pb 0.7139 0.7232 0.2043  3 Bi 3.10-3.17, 1 Pb 3.33, 1 Hg 3.37
16 Pb 0.7861 0.2768 0.7043  3 Bi 3.10-3.17, 1 Pb 3.33, 1 Hg 3.37

## Pm12Pr3In (PBE-GGA)

Data for an optimized crystal structure of Pm12Pr3In.

* crystal system: tetragonal
* electronic total energy: -74.8 eV/f.u.
* total magnetic moment: 0.001 μB/f.u.
* E_form: -0.045 eV per atom

Unit cell a=5.1000 b=5.1000 c=20.7608 alpha=90.00 beta=90.00 gamma=90.00
Last column: nearest neighbours and their distance in Å.
Fractional positions:
1 Pm 0.0000 0.0000 0.0000  8 Pm 3.55, 4 In 3.61
2 Pm 0.0000 0.0000 0.2440  4 Pr 3.61, 8 Pm 3.64-3.70
3 Pm 0.0000 0.0000 0.5000  4 Pr 3.61, 8 Pm 3.67
4 Pm 0.0000 0.0000 0.7560  4 Pr 3.61, 8 Pm 3.64-3.70
5 Pm 0.0000 0.5000 0.1188  2 In 3.55, 8 Pm 3.55-3.64, 2 Pr 3.68
6 Pm 0.0000 0.5000 0.3729  8 Pm 3.61-3.70, 4 Pr 3.66-3.67
7 Pm 0.0000 0.5000 0.6271  8 Pm 3.61-3.70, 4 Pr 3.66-3.67
8 Pm 0.0000 0.5000 0.8812  2 In 3.55, 8 Pm 3.55-3.64, 2 Pr 3.68
9 Pm 0.5000 0.0000 0.1188  2 In 3.55, 8 Pm 3.55-3.64, 2 Pr 3.68
10 Pm 0.5000 0.0000 0.3729  8 Pm 3.61-3.70, 4 Pr 3.66-3.67
11 Pm 0.5000 0.0000 0.6271  8 Pm 3.61-3.70, 4 Pr 3.66-3.67
12 Pm 0.5000 0.0000 0.8812  2 In 3.55, 8 Pm 3.55-3.64, 2 Pr 3.68
13 Pr 0.5000 0.5000 0.2467  12 Pm 3.61-3.68
14 Pr 0.5000 0.5000 0.5000  12 Pm 3.61-3.67
15 Pr 0.5000 0.5000 0.7533  12 Pm 3.61-3.68
16 In 0.5000 0.5000 0.0000  12 Pm 3.55-3.61

## KTmPb2 (PBE-GGA)

Data for an optimized crystal structure of KTmPb2.

* crystal system: tetragonal
* electronic total energy: -13.5 eV/f.u.
* total magnetic moment: 0.000 μB/f.u.
* relative energy among the computed polymorphs: 0.61 eV per formula unit
* E_form: -0.134 eV per atom

Unit cell a=5.7987 b=5.7987 c=3.6658 alpha=90.00 beta=90.00 gamma=90.00
Last column: nearest neighbours and their distance in Å.
Fractional positions:
1 K 0.0000 0.0000 0.0000  8 Pb 3.43, 2 K 3.67
2 Tm 0.5000 0.5000 0.0000  8 Pb 3.43, 2 Tm 3.67
3 Pb 0.0000 0.5000 0.5000  4 K 3.43, 4 Tm 3.43, 2 Pb 3.67
4 Pb 0.5000 0.0000 0.5000  4 K 3.43, 4 Tm 3.43, 2 Pb 3.67